! Mn2TlGeH, optimized geometry, DFT GGA-PBE; values from VASP
&SYSTEM
  ibrav = 0, nat = 5, ntyp = 4
/
ATOMIC_SPECIES
H 1.01 H.upf
Mn 54.94 Mn.upf
Tl 204.38 Tl.upf
Ge 72.64 Ge.upf
CELL_PARAMETERS angstrom
-3.1537 2.1830 -2.8190
-4.4121 -2.0210 3.3707
0.2811 3.9041 2.7088
ATOMIC_POSITIONS angstrom
H -3.6423 2.0331 1.6302
Mn -1.5768 1.0915 -1.4095
Mn 0.1406 1.9520 1.3544
Tl -2.2060 -1.0105 1.6854
Ge 0.0000 0.0000 0.0000
! **Raw total energy**: -4.708 eV/atom